1.
Density functional theory data (GGA-PBE) for a relaxed structure of SrAl3S.

a = 5.914 Å, b = 5.914 Å, c = 5.914 Å
α = 90.00°, β = 90.00°, γ = 90.00°
Space group Pm-3m (No. 221)
Unique sites:
Sr 0.000 0.000 0.000 [1 per cell]
Al 0.000 0.000 0.500 [3 per cell]
S 0.500 0.500 0.500 [1 per cell]

Output
Relative energy among the computed polymorphs = 129.07 kJ per mole of atoms
Uncorrected energy = -1.92 eV per atom
D(E_F) = 3.5 states/eV per cell

---

2.
Density functional theory data (GGA-PBE) for a relaxed structure of Sr5AlS6.

a = 7.291 Å, b = 12.623 Å, c = 7.294 Å
α = 90.00°, β = 109.42°, γ = 90.00°
Space group C2/m (No. 12)
Unique sites:
Sr 0.000 0.000 0.000 [2 per cell]
Sr 0.000 0.167 0.500 [4 per cell]
Sr 0.000 0.334 0.000 [4 per cell]
Al 0.000 0.500 0.500 [2 per cell]
S 0.235 0.500 0.263 [4 per cell]
S 0.238 0.343 0.740 [8 per cell]

Output
Uncorrected energy = -4.85 eV per atom
D(E_F) = 6.0 states/eV per cell

---

3.
Density functional theory data (GGA-PBE) for a relaxed structure of SrAl2S4.

a = 5.965 Å, b = 10.605 Å, c = 10.658 Å
α = 90.00°, β = 90.00°, γ = 90.00°
Space group Cccm (No. 66)
Unique sites:
Sr 0.000 0.000 0.250 [4 per cell]
Al 0.001 0.261 0.000 [8 per cell]
S 0.233 0.089 0.500 [8 per cell]
S 0.250 0.250 0.161 [8 per cell]

Output
Uncorrected energy = -5.13 eV per atom
D(E_F) = 0.0 states/eV per cell

---

4.
Density functional theory data (GGA-PBE) for a relaxed structure of Sr2AlS.

a = 7.758 Å, b = 7.758 Å, c = 7.758 Å
α = 90.00°, β = 90.00°, γ = 90.00°
Space group Fm-3m (No. 225)
Unique sites:
Sr 0.250 0.250 0.250 [8 per cell]
Al 0.000 0.000 0.000 [4 per cell]
S 0.000 0.000 0.500 [4 per cell]

Output
Relative energy among the computed polymorphs = 17.76 kJ per mole of atoms
Uncorrected energy = -3.30 eV per atom
D(E_F) = 22.5 states/eV per cell

---

5.
Density functional theory data (GGA-PBE) for a relaxed structure of SrAl2S4.

a = 12.234 Å, b = 20.649 Å, c = 21.185 Å
α = 90.00°, β = 90.00°, γ = 90.00°
Space group Fddd (No. 70, origin choice 2)
Unique sites:
Sr 0.125 0.125 0.125 [8 per cell]
Sr 0.125 0.125 0.374 [16 per cell]
Sr 0.125 0.125 0.625 [8 per cell]
Al 0.084 0.303 0.250 [32 per cell]
Al 0.122 0.263 0.750 [32 per cell]
S 0.001 0.000 0.581 [32 per cell]
S 0.001 0.000 0.919 [32 per cell]
S 0.009 0.346 0.499 [32 per cell]
S 0.015 0.075 0.751 [32 per cell]

Output
Uncorrected energy = -5.14 eV per atom
D(E_F) = 0.0 states/eV per cell

---

6.
Density functional theory data (GGA-PBE) for a relaxed structure of SrAlS2.

a = 4.4306 Å, b = 4.4306 Å, c = 22.3082 Å
α = 90.00°, β = 90.00°, γ = 120.00°
Space group R-3m (No. 166, hexagonal axes)
Unique sites:
Sr 0.0000 0.0000 0.0000 [3 per cell]
Al 0.0000 0.0000 0.5000 [3 per cell]
S 0.0000 0.0000 0.4017 [6 per cell]

Output
Uncorrected energy = -4.41 eV per atom
D(E_F) = 5.7 states/eV per cell

---

7.
Density functional theory data (GGA-PBE) for a relaxed structure of SrAl2TeS6.

a = 14.159 Å, b = 10.956 Å, c = 7.504 Å
α = 90.00°, β = 116.92°, γ = 90.00°
Space group C2/c (No. 15)
Unique sites:
Sr 0.000 0.214 0.250 [4 per cell]
Al 0.230 0.092 0.165 [8 per cell]
Te 0.000 0.254 0.750 [4 per cell]
S 0.092 0.387 0.618 [8 per cell]
S 0.155 0.279 0.108 [8 per cell]
S 0.163 0.015 0.373 [8 per cell]

Output
Uncorrected energy = -4.58 eV per atom
D(E_F) = 0.0 states/eV per cell

---

8.
Density functional theory data (GGA-PBE) for a relaxed structure of Sr2UAlS6.

a = 6.788 Å, b = 7.075 Å, c = 11.832 Å
α = 90.00°, β = 124.46°, γ = 90.00°
Space group P2_1/c (No. 14)
Unique sites:
Sr 0.226 0.069 0.247 [4 per cell]
U 0.500 0.000 0.000 [2 per cell]
Al 0.000 0.000 0.500 [2 per cell]
S 0.148 0.211 0.956 [4 per cell]
S 0.248 0.694 0.956 [4 per cell]
S 0.326 0.015 0.740 [4 per cell]

Output
Uncorrected energy = -5.88 eV per atom
D(E_F) = 4.2 states/eV per cell

---

Values of energy relative to the elements, uncorrected, in order: 1.48, -1.78, -1.47, -0.49, -1.47, -0.99, -0.88, -1.57, all in eV/atom.